{
  "formula": "AlZn2Co",
  "functional": "PBE",
  "state": "relaxed",
  "lattice_angstrom": [[2.7705, 0.0000, 0.0000], [-1.3852, 2.3993, 0.0000], [0.0000, 0.0000, 25.3272]],
  "species": ["Al", "Al", "Al", "Zn", "Zn", "Zn", "Zn", "Zn", "Zn", "Co", "Co", "Co"],
  "fractional_positions": [[0.0000, 0.0000, 0.0000], [0.3333, 0.6667, 0.6667], [0.6667, 0.3333, 0.3333], [0.0000, 0.0000, 0.2445], [0.0000, 0.0000, 0.7555], [0.3333, 0.6667, 0.4222], [0.3333, 0.6667, 0.9112], [0.6667, 0.3333, 0.0888], [0.6667, 0.3333, 0.5778], [0.0000, 0.0000, 0.5000], [0.3333, 0.6667, 0.1667], [0.6667, 0.3333, 0.8333]],
  "m_tot_mub_per_cell": 3.7,
  "delta_e_f_mev_per_atom": 55,
  "n_ef_per_ev_cell": 10.49,
  "spacegroup": "R-3m (166)"
}

{
  "formula": "Tb4Sb2AsP",
  "functional": "PBE",
  "state": "relaxed",
  "lattice_angstrom": [[7.3090, 0.0000, 0.0000], [0.0000, 4.2164, 0.0000], [-2.4289, 0.0000, 7.0043]],
  "species": ["Tb", "Tb", "Tb", "Tb", "Sb", "Sb", "As", "P"],
  "fractional_positions": [[0.2392, 0.0000, 0.2279], [0.2531, 0.5000, 0.7699], [0.7469, 0.5000, 0.2301], [0.7608, 0.0000, 0.7721], [0.0000, 0.0000, 0.5000], [0.5000, 0.5000, 0.5000], [0.5000, 0.0000, 0.0000], [0.0000, 0.5000, 0.0000]],
  "m_tot_mub_per_cell": 0.0,
  "total_energy_ev_per_atom": -5.939,
  "n_ef_per_ev_cell": 1.06,
  "spacegroup": "P2/m (10)"
}